[1]
# YBe2Al

A relaxed YBe2Al crystal (PBE, Alexandria via LeMat-Bulk).

The calculation puts the density of states at the Fermi level at 0.540 states/eV/atom. As for the total magnetization: 0.000 μB per formula unit. The formation energy comes out at 569 meV/atom.

Unit cell a=2.9945 b=2.9945 c=26.1520 alpha=90.00 beta=90.00 gamma=120.00
Space group R-3m (No. 166, hexagonal axes)
Inequivalent atoms, fractional coordinates:
Y 0.0000 0.0000 0.0000 (multiplicity 3)
Be 0.0000 0.0000 0.2395 (multiplicity 6)
Al 0.0000 0.0000 0.5000 (multiplicity 3)


[2]
# YBeAl

A relaxed YBeAl crystal (PBE, Alexandria via LeMat-Bulk).

The calculation puts the density of states at the Fermi level at 0.604 states/eV/atom. As for the total magnetization: 0.000 μB per formula unit. The formation energy comes out at -194 meV/atom. The value obtained for the energy above the most stable polymorph in this dataset is 83 meV/atom.

Unit cell a=6.1820 b=6.1820 c=6.1820 alpha=90.00 beta=90.00 gamma=90.00
Space group F-43m (No. 216)
Inequivalent atoms, fractional coordinates:
Y 0.0000 0.0000 0.0000 (multiplicity 4)
Be 0.2500 0.2500 0.2500 (multiplicity 4)
Al 0.0000 0.0000 0.5000 (multiplicity 4)


[3]
# YBe2Al

A relaxed YBe2Al crystal (PBE, Alexandria via LeMat-Bulk).

The calculation puts the density of states at the Fermi level at 0.730 states/eV/atom. As for the total magnetization: 0.000 μB per formula unit. The formation energy comes out at -162 meV/atom.

Unit cell a=3.8403 b=3.8403 c=15.6074 alpha=90.00 beta=90.00 gamma=120.00
Space group R3m (No. 160, hexagonal axes)
Inequivalent atoms, fractional coordinates:
Y 0.0000 0.0000 0.0000 (multiplicity 3)
Be 0.0000 0.0000 0.4681 (multiplicity 3)
Be 0.0000 0.0000 0.7947 (multiplicity 3)
Al 0.0000 0.0000 0.1961 (multiplicity 3)


[4]
# Y2BeAl

A relaxed Y2BeAl crystal (PBE, Alexandria via LeMat-Bulk).

The calculation puts the density of states at the Fermi level at 0.696 states/eV/atom. As for the total magnetization: 0.000 μB per formula unit. The formation energy comes out at 108 meV/atom. The value obtained for the energy above the most stable polymorph in this dataset is 292 meV/atom.

Unit cell a=3.6031 b=3.6031 c=25.8416 alpha=90.00 beta=90.00 gamma=120.00
Space group R-3m (No. 166, hexagonal axes)
Inequivalent atoms, fractional coordinates:
Y 0.0000 0.0000 0.2430 (multiplicity 6)
Be 0.0000 0.0000 0.5000 (multiplicity 3)
Al 0.0000 0.0000 0.0000 (multiplicity 3)


[5]
# YBeAl

A relaxed YBeAl crystal (PBE, Alexandria via LeMat-Bulk).

The calculation puts the density of states at the Fermi level at 0.647 states/eV/atom. As for the total magnetization: 0.000 μB per formula unit. The formation energy comes out at 191 meV/atom. The value obtained for the energy above the most stable polymorph in this dataset is 468 meV/atom.

Unit cell a=6.3777 b=6.3777 c=6.3777 alpha=90.00 beta=90.00 gamma=90.00
Space group F-43m (No. 216)
Inequivalent atoms, fractional coordinates:
Y 0.0000 0.0000 0.0000 (multiplicity 4)
Be 0.0000 0.0000 0.5000 (multiplicity 4)
Al 0.2500 0.2500 0.2500 (multiplicity 4)


[6]
# Y2BeAl

A relaxed Y2BeAl crystal (PBE, Alexandria via LeMat-Bulk).

The calculation puts the density of states at the Fermi level at 0.708 states/eV/atom. As for the total magnetization: 0.000 μB per formula unit. The formation energy comes out at 292 meV/atom. The value obtained for the energy above the most stable polymorph in this dataset is 476 meV/atom.

Unit cell a=7.7107 b=7.7107 c=6.5003 alpha=90.00 beta=90.00 gamma=90.00
Space group I-42d (No. 122)
Inequivalent atoms, fractional coordinates:
Y 0.2146 0.2500 0.1250 (multiplicity 8)
Be 0.0000 0.0000 0.0000 (multiplicity 4)
Al 0.0000 0.0000 0.5000 (multiplicity 4)


[7]
# YBeAl3

A relaxed YBeAl3 crystal (PBE, Alexandria via LeMat-Bulk).

The calculation puts the density of states at the Fermi level at 0.746 states/eV/atom. As for the total magnetization: 0.000 μB per formula unit. The formation energy comes out at 1633 meV/atom. The value obtained for the energy above the most stable polymorph in this dataset is 1950 meV/atom.

Unit cell a=5.5318 b=5.5318 c=5.5318 alpha=90.00 beta=90.00 gamma=90.00
Space group Pm-3m (No. 221)
Inequivalent atoms, fractional coordinates:
Y 0.0000 0.0000 0.0000 (multiplicity 1)
Be 0.5000 0.5000 0.5000 (multiplicity 1)
Al 0.0000 0.0000 0.5000 (multiplicity 3)


[8]
# YBe4Al

A relaxed YBe4Al crystal (PBE, Alexandria via LeMat-Bulk).

The calculation puts the density of states at the Fermi level at 0.314 states/eV/atom. As for the total magnetization: 0.000 μB per formula unit. The formation energy comes out at 127 meV/atom.

Unit cell a=6.7772 b=6.7772 c=6.7772 alpha=90.00 beta=90.00 gamma=90.00
Space group F-43m (No. 216)
Inequivalent atoms, fractional coordinates:
Y 0.0000 0.0000 0.0000 (multiplicity 4)
Be 0.1292 0.1292 0.3708 (multiplicity 16)
Al 0.2500 0.2500 0.7500 (multiplicity 4)


[9]
# Y2BeAl

A relaxed Y2BeAl crystal (PBE, Alexandria via LeMat-Bulk).

The calculation puts the density of states at the Fermi level at 1.203 states/eV/atom. As for the total magnetization: 1.553 μB per formula unit. The formation energy comes out at 389 meV/atom. The value obtained for the energy above the most stable polymorph in this dataset is 572 meV/atom.

Unit cell a=7.0403 b=7.0403 c=7.0403 alpha=90.00 beta=90.00 gamma=90.00
Space group F-43m (No. 216)
Inequivalent atoms, fractional coordinates:
Y 0.0000 0.0000 0.0000 (multiplicity 4)
Y 0.2500 0.2500 0.2500 (multiplicity 4)
Be 0.2500 0.2500 0.7500 (multiplicity 4)
Al 0.0000 0.0000 0.5000 (multiplicity 4)


[10]
# YBe2Al

A relaxed YBe2Al crystal (PBE, Alexandria via LeMat-Bulk).

The calculation puts the density of states at the Fermi level at 0.348 states/eV/atom. As for the total magnetization: 0.000 μB per formula unit. The formation energy comes out at -27 meV/atom.

Unit cell a=3.7965 b=3.7716 c=4.9825 alpha=90.00 beta=112.31 gamma=90.00
Space group Pm (No. 6)
Inequivalent atoms, fractional coordinates:
Y 0.0000 0.0000 0.0000 (multiplicity 1)
Be 0.6141 0.5000 0.2284 (multiplicity 1)
Be 0.7062 0.0000 0.4175 (multiplicity 1)
Al 0.2794 0.5000 0.5581 (multiplicity 1)


[11]
# Y2BeAl

A relaxed Y2BeAl crystal (PBE, Alexandria via LeMat-Bulk).

The calculation puts the density of states at the Fermi level at 0.575 states/eV/atom. As for the total magnetization: 0.000 μB per formula unit. The formation energy comes out at -159 meV/atom. The value obtained for the energy above the most stable polymorph in this dataset is 24 meV/atom.

Unit cell a=7.0574 b=7.0574 c=7.0574 alpha=90.00 beta=90.00 gamma=90.00
Space group Fm-3m (No. 225)
Inequivalent atoms, fractional coordinates:
Y 0.2500 0.2500 0.2500 (multiplicity 8)
Be 0.0000 0.0000 0.0000 (multiplicity 4)
Al 0.0000 0.0000 0.5000 (multiplicity 4)


[12]
# YBe2Al

A relaxed YBe2Al crystal (PBE, Alexandria via LeMat-Bulk).

The calculation puts the density of states at the Fermi level at 0.741 states/eV/atom. As for the total magnetization: 0.001 μB per formula unit. The formation energy comes out at 96 meV/atom.

Unit cell a=3.7226 b=3.8540 c=9.8694 alpha=90.00 beta=90.00 gamma=90.00
Space group Imm2 (No. 44)
Inequivalent atoms, fractional coordinates:
Y 0.0000 0.0000 0.0000 (multiplicity 2)
Be 0.0000 0.0000 0.6295 (multiplicity 2)
Be 0.0000 0.5000 0.2277 (multiplicity 2)
Al 0.0000 0.5000 0.7560 (multiplicity 2)


[13]
# YBeAl

A relaxed YBeAl crystal (PBE, Alexandria via LeMat-Bulk).

The calculation puts the density of states at the Fermi level at 0.485 states/eV/atom. As for the total magnetization: 0.000 μB per formula unit. The formation energy comes out at -277 meV/atom. The value obtained for the energy above the most stable polymorph in this dataset is 0 meV/atom.

Unit cell a=4.2764 b=4.2764 c=3.6060 alpha=90.00 beta=90.00 gamma=120.00
Space group P-6m2 (No. 187)
Inequivalent atoms, fractional coordinates:
Y 0.0000 0.0000 0.0000 (multiplicity 1)
Be 0.3333 0.6667 0.5000 (multiplicity 1)
Al 0.6667 0.3333 0.5000 (multiplicity 1)


[14]
# YBe2Al

A relaxed YBe2Al crystal (PBE, Alexandria via LeMat-Bulk).

The calculation puts the density of states at the Fermi level at 0.544 states/eV/atom. As for the total magnetization: 0.001 μB per formula unit. The formation energy comes out at 108 meV/atom.

Unit cell a=3.1426 b=3.1426 c=6.4141 alpha=90.00 beta=90.00 gamma=90.00
Space group P4/mmm (No. 123)
Inequivalent atoms, fractional coordinates:
Y 0.0000 0.0000 0.0000 (multiplicity 1)
Be 0.5000 0.5000 0.3118 (multiplicity 2)
Al 0.0000 0.0000 0.5000 (multiplicity 1)


[15]
# YBe2Al

A relaxed YBe2Al crystal (PBE, Alexandria via LeMat-Bulk).

The calculation puts the density of states at the Fermi level at 0.715 states/eV/atom. As for the total magnetization: 0.000 μB per formula unit. The formation energy comes out at -140 meV/atom.

Unit cell a=3.9533 b=3.9533 c=14.5803 alpha=90.00 beta=90.00 gamma=120.00
Space group R-3m (No. 166, hexagonal axes)
Inequivalent atoms, fractional coordinates:
Y 0.0000 0.0000 0.0000 (multiplicity 3)
Be 0.0000 0.0000 0.2001 (multiplicity 6)
Al 0.0000 0.0000 0.5000 (multiplicity 3)